The following is a PBE calculation of an optimized crystal structure of PmGe2RuRh, from Alexandria.

Space group ... I-4m2
Calculated formation energy ... -0.8015 eV per atom

Cell lengths 4.2345, 4.2345, 5.9247 Å; angles 110.94, 110.94, 90.00 degrees
Atoms (fractional coordinates):
Pm  0.0000  0.0000  0.0000
Ge  0.6278  0.6278  0.2555
Ge  0.3722  0.3722  0.7445
Rh  0.2500  0.7500  0.5000
Ru  0.7500  0.2500  0.5000